Record 1
Material: Tm3Ni4Ir4
Method: DFT, PBE-GGA
State: optimized geometry

Results
Symmetry: No. 217
Energy of formation (eV/atom): -0.2515

Geometry as POSCAR:
```
Tm3Ni4Ir4
1.0
6.3121 0.0000 0.0000
-2.1040 5.9511 0.0000
-2.1040 -2.9755 5.1538
Ni Tm Ir
4 3 4
Cartesian
-0.4847 1.3711 0.0000 Ni
-0.4847 -0.6855 1.1874 Ni
1.4542 0.0000 0.0000 Ni
1.6193 2.2900 3.9664 Ni
2.1040 2.9755 0.0000 Tm
2.1040 -1.4878 2.5769 Tm
-2.1040 1.4878 2.5769 Tm
3.7345 0.0000 0.0000 Ir
0.8592 1.2151 2.1046 Ir
-1.2448 -1.7605 3.0492 Ir
-1.2448 3.5209 0.0000 Ir
```

***

Record 2
Material: Tm5Ni2Ir
Method: DFT, PBE-GGA
State: optimized geometry

Results
Symmetry: No. 140
Energy of formation (eV/atom): -0.5521

Geometry as POSCAR:
```
Tm5Ni2Ir
1.0
-0.8246 6.7955 1.2241
0.1213 1.2469 -6.8402
-6.8070 -4.8401 2.5318
Tm Ir Ni
10 2 4
Cartesian
-2.7347 5.7712 -1.2934 Tm
0.0000 0.0000 0.0000 Tm
-5.1695 1.0157 -2.2034 Tm
-4.7754 -2.5688 -1.7909 Tm
-2.3406 2.1867 -0.8808 Tm
-5.3537 1.4102 1.4000 Tm
-0.3516 4.0212 -2.8080 Tm
-2.5506 5.3767 -4.8968 Tm
-4.9596 -2.1744 1.8126 Tm
-2.1565 1.7922 -4.4843 Tm
-3.5793 -0.4094 -0.1381 Ir
-3.9309 3.6118 -2.9461 Ir
-0.4970 4.3670 -0.0648 Ni
-0.0533 1.2922 -2.4482 Ni
-0.6499 6.7503 -3.1679 Ni
-0.2062 3.6754 -5.5513 Ni
```

***

Record 3
Material: Tm3NiIr
Method: DFT, PBE-GGA
State: optimized geometry

Results
Symmetry: No. 59
Energy above the most stable polymorph in this dataset (meV per atom): 39
Energy of formation (eV/atom): -0.5417

Geometry as POSCAR:
```
Tm3NiIr
1.0
3.9341 -0.0009 0.0000
0.0016 6.7073 0.0000
0.0000 0.0000 8.6091
Ni Tm Ir
2 6 2
Cartesian
2.9518 5.0298 3.4155 Ni
0.9839 1.6766 5.1935 Ni
2.9522 6.6227 5.7640 Tm
0.9843 3.2695 2.8451 Tm
0.9835 0.0838 2.8451 Tm
2.9514 3.4370 5.7640 Tm
0.9839 1.6766 8.1729 Tm
2.9518 5.0298 0.4362 Tm
0.9847 5.0303 7.1429 Ir
2.9509 1.6762 1.4661 Ir
```

***

Record 4
Material: Tm12Ni6Ir
Method: DFT, PBE-GGA
State: optimized geometry

Results
Symmetry: No. 148
Energy of formation (eV/atom): -0.2971

Geometry as POSCAR:
```
Tm12Ni6Ir
1.0
-7.8469 0.0538 -1.0064
0.2969 -1.6146 7.7391
1.3210 7.7960 0.2572
Tm Ni Ir
12 6 1
Cartesian
-7.2366 0.2531 1.5910 Tm
1.0076 5.9821 5.3989 Tm
-3.4186 5.7298 2.9288 Tm
-0.0204 1.0126 7.3443 Tm
-2.3354 3.2980 6.0634 Tm
-4.9536 -1.0400 6.3505 Tm
-0.5388 3.8074 3.1400 Tm
-3.8937 2.9372 0.9265 Tm
-6.2086 5.2226 -0.3544 Tm
-2.8105 0.5054 4.0610 Tm
-1.2754 7.2752 0.6394 Tm
-5.6903 2.4278 3.8499 Tm
-4.5690 0.5630 1.8971 Ni
-5.7813 4.7224 2.2673 Ni
-1.6632 4.6107 0.8760 Ni
-1.6601 5.6722 5.0927 Ni
-4.5659 1.6245 6.1138 Ni
-0.4477 1.5128 4.7226 Ni
0.0000 0.0000 0.0000 Ir
```

***

Record 5
Material: Tm6Ni2Ir
Method: DFT, PBE-GGA
State: optimized geometry

Results
Symmetry: No. 71
Energy above the most stable polymorph in this dataset (meV per atom): 0
Energy of formation (eV/atom): -0.4763

Geometry as POSCAR:
```
Tm6Ni2Ir
1.0
7.6006 0.1844 -2.7002
-3.9455 6.5911 -2.4667
-0.0155 -0.1844 8.0660
Ir Ni Tm
2 4 12
Cartesian
0.0000 0.0000 0.0000 Ir
-1.9805 3.2034 2.7996 Ir
2.2913 2.4282 4.8051 Ni
2.5983 0.0000 1.8381 Ni
4.9868 0.0000 3.5277 Ni
1.3483 4.1629 -1.9060 Ni
-0.3859 1.5964 5.7664 Tm
-1.5428 4.7703 5.1641 Tm
5.1820 0.2229 0.7188 Tm
5.1824 1.8208 -2.2650 Tm
3.8264 2.4155 2.6350 Tm
2.2917 1.7807 -0.4164 Tm
-0.1868 4.1756 0.2641 Tm
0.3948 1.6364 2.4251 Tm
1.3479 4.8104 3.3155 Tm
-1.5424 6.3682 2.1803 Tm
4.0255 4.9947 -2.8673 Tm
3.2448 4.9547 0.4740 Tm
```

***

Record 6
Material: Tm2Ni3Ir
Method: DFT, PBE-GGA
State: optimized geometry

Results
Symmetry: No. 71
Energy above the most stable polymorph in this dataset (meV per atom): 460
Energy of formation (eV/atom): -0.1610

Geometry as POSCAR:
```
Tm2Ni3Ir
1.0
4.5519 0.0000 0.0000
0.0000 5.0950 0.0000
-2.2760 -2.5475 4.4607
Ni Ir Tm
3 1 2
Cartesian
0.0000 0.0000 0.0000 Ni
0.0000 0.0000 3.3120 Ni
2.2760 2.5475 1.1487 Ni
0.0000 2.5475 0.0000 Ir
2.2760 0.0000 1.7063 Tm
0.0000 2.5475 2.7544 Tm
```

***

Record 7
Material: TmNiIr2
Method: DFT, PBE-GGA
State: optimized geometry

Results
Symmetry: No. 123
Energy above the most stable polymorph in this dataset (meV per atom): 0
Energy of formation (eV/atom): -0.4253

Geometry as POSCAR:
```
TmNiIr2
1.0
-3.1369 0.6418 2.3989
-0.5146 -3.9066 0.3723
2.4021 -0.0167 3.1455
Tm Ni Ir
1 1 2
Cartesian
-0.6247 -1.6407 2.9583 Tm
-1.5684 0.3209 1.1994 Ni
1.2010 -0.0083 1.5728 Ir
-0.2573 -1.9533 0.1861 Ir
```

***

Record 8
Material: TmNi3Ir2
Method: DFT, PBE-GGA
State: optimized geometry

Results
Symmetry: No. 166
Energy of formation (eV/atom): -0.2378

Geometry as POSCAR:
```
TmNi3Ir2
1.0
5.4697 0.0000 0.0000
2.7348 4.7369 0.0000
2.7348 1.5790 6.5674
Ni Ir Tm
6 4 2
Cartesian
6.7401 3.8914 2.1168 Ni
4.1992 2.4244 4.4506 Ni
5.4697 4.6249 4.4506 Ni
4.1992 3.8914 2.1168 Ni
6.7401 2.4244 4.4506 Ni
5.4697 1.6909 2.1168 Ni
2.7348 0.0000 0.0000 Ir
1.3674 2.3684 0.0000 Ir
0.0000 0.0000 0.0000 Ir
4.1022 2.3684 0.0000 Ir
8.2045 4.7369 4.2265 Tm
2.7348 1.5790 2.3409 Tm
```

***

Record 9
Material: TmNiIr2
Method: DFT, PBE-GGA
State: optimized geometry

Results
Symmetry: No. 13
Energy above the most stable polymorph in this dataset (meV per atom): 274
Energy of formation (eV/atom): -0.1510

Geometry as POSCAR:
```
TmNiIr2
1.0
7.0387 -3.8911 0.0000
-3.1817 8.7438 0.0000
0.0000 0.0000 6.5115
Ni Ir Tm
4 8 4
Cartesian
1.1331 4.6123 4.1913 Ni
2.7239 0.2404 2.3202 Ni
4.6524 2.6668 5.4405 Ni
-0.7954 2.1859 1.0710 Ni
3.9249 -1.2527 0.8854 Ir
0.0000 0.0000 0.0000 Ir
-1.5909 4.3719 0.0000 Ir
2.3341 3.1192 5.6261 Ir
1.5229 1.7335 0.8854 Ir
3.5193 -1.9455 3.2558 Ir
1.9285 2.4264 3.2558 Ir
-0.0679 6.1054 5.6261 Ir
1.1330 4.6123 1.3907 Tm
-2.3863 6.5578 1.8391 Tm
6.2432 -1.7051 4.6724 Tm
2.7239 0.2404 5.1208 Tm
```

***

Record 10
Material: TmNi6Ir
Method: DFT, PBE-GGA
State: optimized geometry

Results
Symmetry: No. 200
Energy of formation (eV/atom): -0.0184

Geometry as POSCAR:
```
TmNi6Ir
1.0
-3.8242 -1.2688 2.4085
2.0526 -4.0721 1.1139
1.7882 1.9607 3.8722
Tm Ni Ir
1 6 1
Cartesian
0.0083 -1.6901 3.6973 Tm
2.3828 -0.5487 3.4943 Ni
-0.3550 -3.7234 2.0493 Ni
1.4580 -1.5627 1.4918 Ni
-1.4166 -1.6175 1.4732 Ni
-2.0069 0.0178 3.7632 Ni
-0.0291 0.6740 2.5176 Ni
0.0000 0.0000 0.0000 Ir
```

***

Record 11
Material: Tm8Ni2Ir
Method: DFT, PBE-GGA
State: optimized geometry

Results
Symmetry: No. 8
Energy above the most stable polymorph in this dataset (meV per atom): 92
Energy of formation (eV/atom): -0.2871

Geometry as POSCAR:
```
Tm8Ni2Ir
1.0
-0.6162 -1.9088 -5.4496
2.2705 -6.2032 3.2985
-7.0035 1.7355 1.5664
Tm Ni Ir
8 2 1
Cartesian
-0.3477 -6.3843 -2.4517 Tm
-1.8178 -1.9384 0.8484 Tm
-0.1473 -3.0724 -1.8900 Tm
-3.5404 -4.4167 -1.2867 Tm
-5.6196 -1.8714 -3.4364 Tm
-5.2052 -3.2663 1.5558 Tm
-2.8081 -5.3182 2.0035 Tm
-2.5570 -1.0097 -2.3400 Tm
-0.9225 -4.7019 0.1267 Ni
-4.4595 -1.6741 -0.5340 Ni
-0.0977 -0.2889 -0.8012 Ir
```

***

Record 12
Material: TmNi5Ir2
Method: DFT, PBE-GGA
State: optimized geometry

Results
Symmetry: No. 71
Energy of formation (eV/atom): -0.0102

Geometry as POSCAR:
```
TmNi5Ir2
1.0
3.6616 0.0000 0.0000
1.8308 5.7860 0.4371
1.8308 1.4927 5.6072
Ni Tm Ir
5 1 2
Cartesian
3.6616 3.4812 1.3103 Ni
3.6616 3.7975 4.7340 Ni
3.6616 5.3511 2.8631 Ni
3.6616 1.9275 3.1812 Ni
1.8308 3.6393 3.0222 Ni
0.0000 0.0000 0.0000 Tm
5.4924 5.5169 4.5813 Ir
1.8308 1.7618 1.4630 Ir
```

***

Record 13
Material: Tm4NiIr2
Method: DFT, PBE-GGA
State: optimized geometry

Results
Symmetry: No. 166
Energy of formation (eV/atom): -0.7783

Geometry as POSCAR:
```
Tm4NiIr2
1.0
4.5254 0.0000 1.4138
2.0419 4.0386 1.4138
-0.0789 -0.0485 8.2019
Tm Ir Ni
4 2 1
Cartesian
0.7752 0.4767 5.4680 Tm
5.7131 3.5133 5.5616 Tm
2.3999 1.4758 8.2172 Tm
4.0885 2.5142 2.8124 Tm
1.6295 1.0021 2.7337 Ir
4.8589 2.9880 8.2959 Ir
0.0000 0.0000 0.0000 Ni
```

***

Record 14
Material: TmNi4Ir
Method: DFT, PBE-GGA
State: optimized geometry

Results
Symmetry: No. 216
Energy above the most stable polymorph in this dataset (meV per atom): 0
Energy of formation (eV/atom): -0.2823

Geometry as POSCAR:
```
TmNi4Ir
1.0
-0.4678 -2.2346 -4.2735
3.8101 -0.3704 -2.9700
2.0976 -4.3071 -0.7240
Ni Tm Ir
4 1 1
Cartesian
2.3543 -2.1777 -4.6122 Ni
1.5055 -4.1290 -3.4989 Ni
3.3940 -4.3125 -4.9710 Ni
3.6259 -3.2049 -2.8529 Ni
0.0000 0.0000 0.0000 Tm
1.3600 -1.7280 -1.9919 Ir
```

***

Record 15
Material: Tm2Ni3Ir
Method: DFT, PBE-GGA
State: optimized geometry

Results
Symmetry: No. 166
Energy above the most stable polymorph in this dataset (meV per atom): 0
Energy of formation (eV/atom): -0.6207

Geometry as POSCAR:
```
Tm2Ni3Ir
1.0
-4.1389 -1.9123 2.1040
1.8179 -1.9992 -4.2324
4.5821 -0.7617 2.3269
Ni Ir Tm
3 1 2
Cartesian
1.1306 -2.3366 0.0993 Ni
2.2911 -0.3808 1.1635 Ni
0.2216 -1.3370 2.2154 Ni
0.0000 0.0000 0.0000 Ir
4.0959 -2.3773 -0.0976 Tm
-1.8348 -2.2959 0.2962 Tm
```

***

Record 16
Material: Tm2NiIr3
Method: DFT, PBE-GGA
State: optimized geometry

Results
Symmetry: No. 194
Energy of formation (eV/atom): -0.7353

Geometry as POSCAR:
```
Tm2NiIr3
1.0
-4.8734 0.3259 -2.1850
0.5613 -1.6802 5.0490
-0.6782 7.8280 2.6804
Ir Tm Ni
6 4 2
Cartesian
-4.1897 5.0272 3.5429 Ir
-0.5226 0.6143 4.5020 Ir
-2.9362 0.7757 3.4199 Ir
-0.8006 1.4464 2.0014 Ir
-4.4677 5.8594 1.0424 Ir
-2.0541 5.6979 2.1245 Ir
-3.3569 3.0621 1.3922 Tm
-1.8844 6.3074 5.1437 Tm
-3.1060 0.1663 0.4007 Tm
-1.6335 3.4116 4.1522 Tm
-0.3391 3.9140 1.3402 Ni
0.0000 0.0000 0.0000 Ni
```

***

Record 17
Material: TmNi3Ir
Method: DFT, PBE-GGA
State: optimized geometry

Results
Symmetry: No. 63
Energy of formation (eV/atom): 0.0548

Geometry as POSCAR:
```
TmNi3Ir
1.0
4.2929 0.0000 0.0000
0.0000 8.1135 -2.2884
0.0000 -5.7135 6.1986
Ni Tm Ir
6 2 2
Cartesian
3.2196 3.6520 -0.9552 Ni
3.2196 4.9050 1.0862 Ni
2.1464 0.0000 0.0000 Ni
1.0732 -1.2520 4.8653 Ni
1.0732 -2.5049 2.8240 Ni
0.0000 0.0000 0.0000 Ni
3.2196 2.3774 1.2324 Tm
1.0732 0.0227 2.6778 Tm
1.0732 -3.7648 5.0025 Ir
3.2196 6.1648 -1.0923 Ir
```

***

Record 18
Material: Tm6Ni2Ir
Method: DFT, PBE-GGA
State: optimized geometry

Results
Symmetry: No. 14
Energy above the most stable polymorph in this dataset (meV per atom): 69
Energy of formation (eV/atom): -0.4071

Geometry as POSCAR:
```
Tm6Ni2Ir
1.0
-5.2945 3.2382 1.3155
0.3148 -2.1984 6.6791
5.7288 7.7560 2.2828
Tm Ir Ni
12 2 4
Cartesian
-2.7272 2.5424 8.0050 Tm
-1.9100 3.1194 4.4476 Tm
1.5769 3.1327 3.3941 Tm
0.8734 2.6211 6.8803 Tm
2.6592 5.6764 5.8298 Tm
-0.1243 6.1746 3.3971 Tm
1.0485 8.4120 7.7870 Tm
-0.2994 0.3838 2.4904 Tm
3.4763 6.2534 2.2724 Tm
1.7445 8.9753 4.1434 Tm
-0.8278 5.6631 6.8832 Tm
-0.9954 -0.1796 6.1339 Tm
2.8644 3.8780 1.1414 Ir
-2.4899 0.5199 3.9973 Ir
-0.8236 3.1912 1.9422 Ni
-0.5214 8.0947 5.5448 Ni
1.2706 0.7011 4.7326 Ni
1.5727 5.6045 8.3352 Ni
```

***

Record 19
Material: TmZnNiIr
Method: DFT, PBE-GGA
State: optimized geometry

Results
Symmetry: No. 216
Energy of formation (eV/atom): -0.4388

Geometry as POSCAR:
```
TmZnNiIr
1.0
4.4967 0.0000 0.0000
2.2484 3.8943 0.0000
2.2484 1.2981 3.6716
Zn Ni Tm Ir
1 1 1 1
Cartesian
4.4967 2.5962 1.8358 Zn
6.7451 3.8943 2.7537 Ni
0.0000 0.0000 0.0000 Tm
2.2484 1.2981 0.9179 Ir
```

***

Record 20
Material: TmZrNiIr
Method: DFT, PBE-GGA
State: optimized geometry

Results
Symmetry: No. 216
Energy of formation (eV/atom): -0.6423

Geometry as POSCAR:
```
TmZrNiIr
1.0
-3.7873 -0.7411 -2.6668
0.1171 -3.2379 -3.3923
-2.4536 -3.9713 0.4624
Zr Tm Ni Ir
1 1 1 1
Cartesian
0.0000 0.0000 0.0000 Zr
-3.0619 -3.9751 -2.7983 Tm
-1.5310 -1.9876 -1.3992 Ni
-4.5929 -5.9627 -4.1975 Ir
```

***

Record 21
Material: U2NiIr9
Method: DFT, PBE-GGA
State: optimized geometry

Results
Symmetry: No. 123
Energy of formation (eV/atom): -0.3652

Geometry as POSCAR:
```
U2NiIr9
1.0
-0.3399 -1.9807 3.4565
1.2187 -3.3544 -1.8023
11.2155 2.6624 2.6285
Ir U Ni
9 2 1
Cartesian
4.1318 -1.7910 1.6924 Ir
2.3717 -1.2589 -0.4881 Ir
10.0625 0.5668 1.3143 Ir
1.5924 -0.5720 2.1413 Ir
5.4378 0.3409 3.0425 Ir
0.4394 -2.6675 0.8271 Ir
6.2171 -0.3460 0.4131 Ir
9.2832 1.2537 3.9437 Ir
7.9625 -0.8817 2.5902 Ir
3.6367 0.8633 0.8523 U
7.5789 1.7991 1.7762 U
0.0000 0.0000 0.0000 Ni
```

***

Record 22
Material: UNi2Ir
Method: DFT, PBE-GGA
State: optimized geometry

Results
Symmetry: No. 187
Energy above the most stable polymorph in this dataset (meV per atom): 571
Energy of formation (eV/atom): 0.2036

Geometry as POSCAR:
```
UNi2Ir
1.0
4.7329 0.0000 0.0000
0.0000 3.6860 2.1281
0.0000 0.0000 4.2563
Ni U Ir
2 1 1
Cartesian
2.3664 1.2287 2.1281 Ni
2.3664 0.0000 0.0000 Ni
0.0000 0.0000 0.0000 U
2.3664 2.4574 4.2563 Ir
```